VASP calculation (PBE-GGA) on a relaxed structure of La2AlAuC.

Structure (CIF):
```
data_La2AlAuC
_chemical_formula_sum 'La2 Al1 Au1 C1'
_cell_length_a 5.373
_cell_length_b 5.373
_cell_length_c 3.939
_cell_angle_alpha 90.00
_cell_angle_beta 90.00
_cell_angle_gamma 90.00
_space_group_name_H-M_alt 'P 4/m m m'
_space_group_IT_number 123
_space_group_name_Hall '-P 4 2'
loop_
_atom_site_label
_atom_site_fract_x
_atom_site_fract_y
_atom_site_fract_z
La1 0.000 0.500 0.000
Al1 0.000 0.000 0.500
Au1 0.500 0.500 0.500
C1 0.000 0.000 0.000
```

## Properties
* formation enthalpy at 0 K: -392 meV/atom
* final energy: -5.61 eV per atom

---

VASP calculation (PBE-GGA) on a relaxed structure of Li3Cr.

Structure (CIF):
```
data_Li3Cr
_chemical_formula_sum 'Li6 Cr2'
_cell_length_a 5.270
_cell_length_b 5.270
_cell_length_c 5.270
_cell_angle_alpha 90.00
_cell_angle_beta 90.00
_cell_angle_gamma 90.00
_space_group_name_H-M_alt 'P m -3 n'
_space_group_IT_number 223
_space_group_name_Hall '-P 4n 2 3'
loop_
_atom_site_label
_atom_site_fract_x
_atom_site_fract_y
_atom_site_fract_z
Li1 0.000 0.250 0.500
Cr1 0.000 0.000 0.000
```

## Properties
* energy relative to the lowest polymorph listed for this composition: 55.7 meV/atom
* formation enthalpy at 0 K: 421 meV/atom
* final energy: -3.42 eV per atom

---

VASP calculation (PBE-GGA) on a relaxed structure of SrMg2NiPb.

Structure (CIF):
```
data_SrMg2NiPb
_chemical_formula_sum 'Sr1 Mg2 Ni1 Pb1'
_cell_length_a 5.011
_cell_length_b 5.011
_cell_length_c 5.091
_cell_angle_alpha 90.00
_cell_angle_beta 90.00
_cell_angle_gamma 90.00
_space_group_name_H-M_alt 'P 4/m m m'
_space_group_IT_number 123
_space_group_name_Hall '-P 4 2'
loop_
_atom_site_label
_atom_site_fract_x
_atom_site_fract_y
_atom_site_fract_z
Sr1 0.000 0.000 0.000
Mg1 0.000 0.500 0.500
Ni1 0.500 0.500 0.500
Pb1 0.500 0.500 0.000
```

## Properties
* formation enthalpy at 0 K: -156 meV/atom
* final energy: -3.03 eV per atom